# 1
A geometry-optimized Ac2Mg3Sn structure, computed with PBE.

Cell: 3.8988 5.3043 9.0967 Å, 90.00 90.00 90.00°
Space group Pmm2 (No. 25)
Symmetry-distinct sites (fractional):
Ac (0.0000, 0.0000, 0.0000) (multiplicity 1)
Ac (0.0000, 0.5000, 0.4810) (multiplicity 1)
Mg (0.5000, 0.0000, 0.6621) (multiplicity 1)
Mg (0.5000, 0.5000, 0.1536) (multiplicity 1)
Mg (0.5000, 0.5000, 0.8196) (multiplicity 1)
Sn (0.5000, 0.0000, 0.3292) (multiplicity 1)

Output
Total magnetization (μB/cell): 0.00
N(E_F) (states/eV per cell): 6.3
Formation energy (meV/atom): -250
E_tot (eV/atom): -3.084



# 2
A geometry-optimized ZnIrO3 structure, computed with PBE.

Cell: 3.8782 3.8782 3.8782 Å, 90.00 90.00 90.00°
Space group Pm-3m (No. 221)
Symmetry-distinct sites (fractional):
Zn (0.0000, 0.0000, 0.0000) (multiplicity 1)
Ir (0.5000, 0.5000, 0.5000) (multiplicity 1)
O (0.0000, 0.5000, 0.5000) (multiplicity 3)

Output
Formation energy from raw total energies (eV per atom): -0.27
Total magnetization (μB/cell): 0.59
N(E_F) (states/eV per cell): 5.9
E_tot (eV/atom): -5.275



# 3
A geometry-optimized BaOsBr2 structure, computed with PBE.

Cell: 5.2021 5.2021 4.3412 Å, 90.00 90.00 90.00°
Space group P4/mmm (No. 123)
Symmetry-distinct sites (fractional):
Ba (0.0000, 0.0000, 0.0000) (multiplicity 1)
Os (0.5000, 0.5000, 0.0000) (multiplicity 1)
Br (0.0000, 0.5000, 0.5000) (multiplicity 2)

Output
Formation energy from raw total energies (eV per atom): 0.19
Total magnetization (μB/cell): 3.79
N(E_F) (states/eV per cell): 1.6
ΔE to the lowest computed polymorph (eV/atom): 0.273
E_tot (eV/atom): -3.936



# 4
A geometry-optimized Ac2Pr7Tm2 structure, computed with PBE.

Cell: 11.1113 9.1650 8.4770 Å, 90.00 106.81 90.00°
Space group C2/m (No. 12)
Symmetry-distinct sites (fractional):
Ac (0.2470, 0.0000, 0.0612) (multiplicity 4)
Pr (0.0000, 0.5000, 0.5000) (multiplicity 2)
Pr (0.0426, 0.0000, 0.3038) (multiplicity 4)
Pr (0.2240, 0.1932, 0.6743) (multiplicity 8)
Tm (0.0000, 0.2869, 0.0000) (multiplicity 4)

Output
Total magnetization (μB/cell): 0.00
N(E_F) (states/eV per cell): 24.9
Formation energy (meV/atom): 192
ΔE to the lowest computed polymorph (eV/atom): 0.066
E_tot (eV/atom): -4.410